## w
Ac3Cd2 after structural relaxation. Source: Alexandria via LeMat-Bulk, functional GGA-PBE.

Values from the calculation:
- DOS at the Fermi energy: 1.40 states/eV per atom

Cell lengths 9.8637, 5.6584, 6.9361 Å; angles 90.00, 90.28, 90.00 degrees
Space group C2/m (No. 12)
Inequivalent atoms, fractional coordinates:
Ac 0.0000 0.0000 0.0000 (multiplicity 2)
Ac 0.1664 0.5000 0.3454 (multiplicity 4)
Cd 0.1672 0.5000 0.8432 (multiplicity 4)

## x
Ac3Cd2 after structural relaxation. Source: Alexandria via LeMat-Bulk, functional GGA-PBE.

Values from the calculation:
- DOS at the Fermi energy: 1.34 states/eV per atom

Cell lengths 4.0591, 4.0591, 21.9724 Å; angles 90.00, 90.00, 90.00 degrees
Space group P4/mmm (No. 123)
Inequivalent atoms, fractional coordinates:
Ac 0.0000 0.0000 0.0000 (multiplicity 1)
Ac 0.0000 0.0000 0.1860 (multiplicity 2)
Ac 0.0000 0.0000 0.3733 (multiplicity 2)
Ac 0.5000 0.5000 0.5000 (multiplicity 1)
Cd 0.5000 0.5000 0.0932 (multiplicity 2)
Cd 0.5000 0.5000 0.2810 (multiplicity 2)

Which of them is least stable? Easy: w.

## w
Ac3Cd after structural relaxation. Source: Alexandria via LeMat-Bulk, functional GGA-PBE.

Values from the calculation:
- DOS at the Fermi energy: 1.31 states/eV per atom

Cell lengths 4.0354, 4.0354, 9.7214 Å; angles 90.00, 90.00, 90.00 degrees
Space group P4/mmm (No. 123)
Inequivalent atoms, fractional coordinates:
Ac 0.0000 0.0000 0.0000 (multiplicity 1)
Ac 0.5000 0.5000 0.2852 (multiplicity 2)
Cd 0.0000 0.0000 0.5000 (multiplicity 1)

## x
Ac3Cd after structural relaxation. Source: Alexandria via LeMat-Bulk, functional GGA-PBE.

Values from the calculation:
- DOS at the Fermi energy: 1.29 states/eV per atom

Cell lengths 5.2925, 5.2925, 10.9725 Å; angles 90.00, 90.00, 90.00 degrees
Space group I4/mmm (No. 139)
Inequivalent atoms, fractional coordinates:
Ac 0.0000 0.0000 0.0000 (multiplicity 2)
Ac 0.0000 0.5000 0.2500 (multiplicity 4)
Cd 0.0000 0.0000 0.5000 (multiplicity 2)

Which of them is least stable? Easy: x.

## w
Ac3Cd after structural relaxation. Source: Alexandria via LeMat-Bulk, functional GGA-PBE.

Values from the calculation:
- DOS at the Fermi energy: 1.20 states/eV per atom

Cell lengths 4.1623, 12.5945, 6.0910 Å; angles 90.00, 90.00, 90.00 degrees
Space group Imm2 (No. 44)
Inequivalent atoms, fractional coordinates:
Ac 0.0000 0.0000 0.0000 (multiplicity 2)
Ac 0.0000 0.2191 0.5013 (multiplicity 4)
Cd 0.0000 0.5000 0.9991 (multiplicity 2)

## x
Ac3Cd after structural relaxation. Source: Alexandria via LeMat-Bulk, functional GGA-PBE.

Values from the calculation:
- DOS at the Fermi energy: 1.13 states/eV per atom

Cell lengths 8.5475, 8.5475, 8.5475 Å; angles 90.00, 90.00, 90.00 degrees
Space group Fm-3m (No. 225)
Inequivalent atoms, fractional coordinates:
Ac 0.0000 0.0000 0.0000 (multiplicity 4)
Ac 0.2500 0.2500 0.2500 (multiplicity 8)
Cd 0.0000 0.0000 0.5000 (multiplicity 4)

## y
Ac3Cd after structural relaxation. Source: Alexandria via LeMat-Bulk, functional GGA-PBE.

Values from the calculation:
- DOS at the Fermi energy: 1.36 states/eV per atom

Cell lengths 7.7245, 7.7245, 5.9843 Å; angles 90.00, 90.00, 120.00 degrees
Space group P6_3/mmc (No. 194)
Inequivalent atoms, fractional coordinates:
Ac 0.1743 0.3487 0.2500 (multiplicity 6)
Cd 0.3333 0.6667 0.7500 (multiplicity 2)

Which of them is least stable? Easy: x.

## w
Ac4Cd after structural relaxation. Source: Alexandria via LeMat-Bulk, functional GGA-PBE.

Values from the calculation:
- DOS at the Fermi energy: 1.25 states/eV per atom

Cell lengths 13.4496, 16.9999, 7.1974 Å; angles 90.00, 90.00, 90.00 degrees
Space group Fdd2 (No. 43)
Inequivalent atoms, fractional coordinates:
Ac 0.0674 0.1093 0.0000 (multiplicity 16)
Ac 0.0677 0.1944 0.5211 (multiplicity 16)
Cd 0.0000 0.0000 0.5956 (multiplicity 8)

## x
Ac4Cd after structural relaxation. Source: Alexandria via LeMat-Bulk, functional GGA-PBE.

Values from the calculation:
- DOS at the Fermi energy: 1.47 states/eV per atom

Cell lengths 6.2477, 6.2477, 6.2477 Å; angles 90.00, 90.00, 90.00 degrees
Space group Pm-3m (No. 221)
Inequivalent atoms, fractional coordinates:
Ac 0.0000 0.0000 0.0000 (multiplicity 1)
Ac 0.0000 0.5000 0.5000 (multiplicity 3)
Cd 0.5000 0.5000 0.5000 (multiplicity 1)

Which of them is least stable? Easy: x.

## w
AcCd2 after structural relaxation. Source: Alexandria via LeMat-Bulk, functional GGA-PBE.

Values from the calculation:
- DOS at the Fermi energy: 1.05 states/eV per atom

Cell lengths 5.1523, 8.0112, 8.6817 Å; angles 90.00, 90.00, 90.00 degrees
Space group Imma (No. 74)
Inequivalent atoms, fractional coordinates:
Ac 0.0000 0.2500 0.0319 (multiplicity 4)
Cd 0.0000 0.0486 0.6655 (multiplicity 8)

## x
AcCd2 after structural relaxation. Source: Alexandria via LeMat-Bulk, functional GGA-PBE.

Values from the calculation:
- DOS at the Fermi energy: 0.60 states/eV per atom

Cell lengths 8.8102, 8.8102, 8.8102 Å; angles 90.00, 90.00, 90.00 degrees
Space group Fd-3m (No. 227, origin choice 2)
Inequivalent atoms, fractional coordinates:
Ac 0.1250 0.1250 0.1250 (multiplicity 8)
Cd 0.0000 0.0000 0.5000 (multiplicity 16)

Which of them is least stable? Easy: x.

## w
Ac2Cd3 after structural relaxation. Source: Alexandria via LeMat-Bulk, functional GGA-PBE.

Values from the calculation:
- DOS at the Fermi energy: 0.91 states/eV per atom

Cell lengths 3.9455, 31.0143, 5.1687 Å; angles 90.00, 90.00, 90.00 degrees
Space group Cmcm (No. 63)
Inequivalent atoms, fractional coordinates:
Ac 0.0000 0.0722 0.2500 (multiplicity 4)
Ac 0.0000 0.2110 0.7500 (multiplicity 4)
Cd 0.0000 0.3291 0.7500 (multiplicity 4)
Cd 0.0000 0.3817 0.2500 (multiplicity 4)
Cd 0.0000 0.4768 0.2500 (multiplicity 4)

## x
Ac2Cd3 after structural relaxation. Source: Alexandria via LeMat-Bulk, functional GGA-PBE.

Values from the calculation:
- DOS at the Fermi energy: 0.83 states/eV per atom

Cell lengths 5.3300, 5.3300, 19.4827 Å; angles 90.00, 90.00, 120.00 degrees
Space group R-3m (No. 166, hexagonal axes)
Inequivalent atoms, fractional coordinates:
Ac 0.0000 0.0000 0.0935 (multiplicity 6)
Cd 0.0000 0.0000 0.3235 (multiplicity 6)
Cd 0.0000 0.0000 0.5000 (multiplicity 3)

Which of them is least stable? Easy: x.

## w
Ac2CdCl after structural relaxation. Source: Alexandria via LeMat-Bulk, functional GGA-PBE.

Values from the calculation:
- DOS at the Fermi energy: 0.91 states/eV per atom

Cell lengths 4.6339, 4.6339, 21.9958 Å; angles 90.00, 90.00, 120.00 degrees
Space group R-3m (No. 166, hexagonal axes)
Inequivalent atoms, fractional coordinates:
Ac 0.0000 0.0000 0.2436 (multiplicity 6)
Cd 0.0000 0.0000 0.0000 (multiplicity 3)
Cl 0.0000 0.0000 0.5000 (multiplicity 3)

## x
Ac2CdCl after structural relaxation. Source: Alexandria via LeMat-Bulk, functional GGA-PBE.

Values from the calculation:
- DOS at the Fermi energy: 1.02 states/eV per atom

Cell lengths 3.8154, 3.8154, 8.7174 Å; angles 90.00, 90.00, 90.00 degrees
Space group P4/mmm (No. 123)
Inequivalent atoms, fractional coordinates:
Ac 0.0000 0.0000 0.2458 (multiplicity 2)
Cd 0.5000 0.5000 0.0000 (multiplicity 1)
Cl 0.5000 0.5000 0.5000 (multiplicity 1)

Which of them is least stable? Easy: x.

## w
Ac3CdCo after structural relaxation. Source: Alexandria via LeMat-Bulk, functional GGA-PBE.

Values from the calculation:
- DOS at the Fermi energy: 0.99 states/eV per atom

Cell lengths 12.9791, 5.8456, 9.5976 Å; angles 90.00, 112.00, 90.00 degrees
Space group C2/m (No. 12)
Inequivalent atoms, fractional coordinates:
Ac 0.1028 0.0000 0.2215 (multiplicity 4)
Ac 0.1296 0.5000 0.9212 (multiplicity 4)
Ac 0.1562 0.0000 0.6506 (multiplicity 4)
Cd 0.0952 0.5000 0.4450 (multiplicity 4)
Co 0.1294 0.0000 0.9335 (multiplicity 4)

## x
Ac3CdCo after structural relaxation. Source: Alexandria via LeMat-Bulk, functional GGA-PBE.

Values from the calculation:
- DOS at the Fermi energy: 0.87 states/eV per atom

Cell lengths 5.5738, 5.5738, 5.5738 Å; angles 90.00, 90.00, 90.00 degrees
Space group Pm-3m (No. 221)
Inequivalent atoms, fractional coordinates:
Ac 0.0000 0.0000 0.5000 (multiplicity 3)
Cd 0.5000 0.5000 0.5000 (multiplicity 1)
Co 0.0000 0.0000 0.0000 (multiplicity 1)

Which of them is least stable? Easy: x.

## w
Ac2CdCu2 after structural relaxation. Source: Alexandria via LeMat-Bulk, functional GGA-PBE.

Values from the calculation:
- DOS at the Fermi energy: 0.80 states/eV per atom

Cell lengths 8.0596, 8.0596, 4.1473 Å; angles 90.00, 90.00, 90.00 degrees
Space group P4/mbm (No. 127)
Inequivalent atoms, fractional coordinates:
Ac 0.1804 0.3196 0.0000 (multiplicity 4)
Cd 0.0000 0.0000 0.5000 (multiplicity 2)
Cu 0.1128 0.6128 0.5000 (multiplicity 4)

## x
Ac2CdCu2 after structural relaxation. Source: Alexandria via LeMat-Bulk, functional GGA-PBE.

Values from the calculation:
- DOS at the Fermi energy: 0.78 states/eV per atom

Cell lengths 4.3569, 15.2599, 4.0996 Å; angles 90.00, 90.00, 90.00 degrees
Space group Cmmm (No. 65)
Inequivalent atoms, fractional coordinates:
Ac 0.0000 0.1329 0.0000 (multiplicity 4)
Cd 0.0000 0.5000 0.5000 (multiplicity 2)
Cu 0.0000 0.2941 0.5000 (multiplicity 4)

Which of them is least stable? Easy: w.

## w
AcCdCu after structural relaxation. Source: Alexandria via LeMat-Bulk, functional GGA-PBE.

Values from the calculation:
- DOS at the Fermi energy: 0.71 states/eV per atom

Cell lengths 6.9004, 6.7076, 8.5668 Å; angles 90.00, 126.03, 90.00 degrees
Space group P2_1/c (No. 14)
Inequivalent atoms, fractional coordinates:
Ac 0.2083 0.1446 0.4288 (multiplicity 4)
Cd 0.2501 0.6345 0.5849 (multiplicity 4)
Cu 0.3525 0.5661 0.3285 (multiplicity 4)

## x
AcCdCu after structural relaxation. Source: Alexandria via LeMat-Bulk, functional GGA-PBE.

Values from the calculation:
- DOS at the Fermi energy: 0.59 states/eV per atom

Cell lengths 3.7625, 3.7625, 10.9974 Å; angles 90.00, 90.00, 90.00 degrees
Space group I4mm (No. 107)
Inequivalent atoms, fractional coordinates:
Ac 0.0000 0.0000 0.0000 (multiplicity 2)
Cd 0.0000 0.0000 0.2969 (multiplicity 2)
Cu 0.0000 0.0000 0.6846 (multiplicity 2)

Which of them is least stable? Easy: x.

## w
AcCd2Cu after structural relaxation. Source: Alexandria via LeMat-Bulk, functional GGA-PBE.

Values from the calculation:
- DOS at the Fermi energy: 0.42 states/eV per atom

Cell lengths 4.5474, 10.6616, 8.1357 Å; angles 90.00, 90.00, 90.00 degrees
Space group Cmcm (No. 63)
Inequivalent atoms, fractional coordinates:
Ac 0.0000 0.0617 0.2500 (multiplicity 4)
Cd 0.0000 0.3506 0.0557 (multiplicity 8)
Cu 0.0000 0.2277 0.7500 (multiplicity 4)

## x
AcCd2Cu after structural relaxation. Source: Alexandria via LeMat-Bulk, functional GGA-PBE.

Values from the calculation:
- DOS at the Fermi energy: 0.47 states/eV per atom

Cell lengths 3.5882, 3.5882, 30.6897 Å; angles 90.00, 90.00, 120.00 degrees
Space group R-3m (No. 166, hexagonal axes)
Inequivalent atoms, fractional coordinates:
Ac 0.0000 0.0000 0.0000 (multiplicity 3)
Cd 0.0000 0.0000 0.1093 (multiplicity 6)
Cu 0.0000 0.0000 0.5000 (multiplicity 3)

Which of them is least stable? Easy: x.

## w
AcCd3Cu after structural relaxation. Source: Alexandria via LeMat-Bulk, functional GGA-PBE.

Values from the calculation:
- DOS at the Fermi energy: 0.70 states/eV per atom

Cell lengths 9.3857, 4.4473, 11.8431 Å; angles 90.00, 90.00, 90.00 degrees
Space group Pnma (No. 62)
Inequivalent atoms, fractional coordinates:
Ac 0.1837 0.2500 0.0111 (multiplicity 4)
Cd 0.0559 0.2500 0.4138 (multiplicity 4)
Cd 0.1100 0.7500 0.2306 (multiplicity 4)
Cd 0.1357 0.7500 0.7909 (multiplicity 4)
Cu 0.1253 0.2500 0.6387 (multiplicity 4)

## x
AcCd3Cu after structural relaxation. Source: Alexandria via LeMat-Bulk, functional GGA-PBE.

Values from the calculation:
- DOS at the Fermi energy: 0.54 states/eV per atom

Cell lengths 5.0707, 5.0707, 5.0707 Å; angles 90.00, 90.00, 90.00 degrees
Space group Pm-3m (No. 221)
Inequivalent atoms, fractional coordinates:
Ac 0.0000 0.0000 0.0000 (multiplicity 1)
Cd 0.0000 0.5000 0.5000 (multiplicity 3)
Cu 0.5000 0.5000 0.5000 (multiplicity 1)

## y
AcCd3Cu after structural relaxation. Source: Alexandria via LeMat-Bulk, functional GGA-PBE.

Values from the calculation:
- DOS at the Fermi energy: 0.62 states/eV per atom

Cell lengths 4.9528, 5.0842, 10.5333 Å; angles 90.00, 90.00, 90.00 degrees
Space group Amm2 (No. 38)
Inequivalent atoms, fractional coordinates:
Ac 0.0000 0.0000 0.0000 (multiplicity 2)
Cd 0.0000 0.0000 0.6947 (multiplicity 2)
Cd 0.5000 0.0000 0.2287 (multiplicity 2)
Cd 0.5000 0.0000 0.5176 (multiplicity 2)
Cu 0.0000 0.0000 0.3231 (multiplicity 2)

Which of them is least stable? Easy: y.